PBE+U LiVO2F2, relaxed; calculated density = 3.24 g/cm³; symmetry = P2_1/c, No. 14; volume = 66 Å³/f.u.; Fermi-level density of states = 0.00 states/eV per atom; E = -148.30 eV for the cell shown; magnetic moment = 0.0 μB/cell
1.0
4.907 0.000 0.000
0.000 7.347 0.003
0.000 1.768 7.284
Li V O F
4 4 8 8
direct
0.251 0.645 0.654
0.249 0.645 0.154
0.751 0.355 0.846
0.749 0.355 0.346
0.768 0.839 0.839
0.732 0.839 0.339
0.268 0.161 0.661
0.232 0.161 0.161
0.068 0.953 0.700
0.432 0.953 0.200
0.610 0.817 0.550
0.890 0.817 0.050
0.110 0.183 0.950
0.390 0.183 0.450
0.568 0.047 0.800
0.932 0.047 0.300
0.447 0.691 0.901
0.917 0.604 0.802
0.053 0.691 0.401
0.583 0.604 0.302
0.417 0.396 0.698
0.947 0.309 0.599
0.083 0.396 0.198
0.553 0.309 0.099